Below is an optimized crystal structure of YH2Br2, with properties calculated at the PBE-GGA level.

Values from the calculation:
- symmetry = P4/mbm (127)
- distance to the lowest polymorph of the same formula (meV/atom) = 406
- total energy (eV/atom) = -3.665

Lattice parameters (Å, degrees): 6.326 6.326 4.278 90.00 90.00 90.00
Sites, in units of the cell vectors:
Y  0.000  0.000  0.000
Y  0.500  0.500  0.000
H  0.324  0.824  0.000
H  0.824  0.676  0.000
H  0.676  0.176  0.000
H  0.176  0.324  0.000
Br  0.177  0.677  0.500
Br  0.677  0.823  0.500
Br  0.823  0.323  0.500
Br  0.323  0.177  0.500

Below is an optimized crystal structure of YH4Br4, with properties calculated at the PBE-GGA level.

Values from the calculation:
- symmetry = I4/m (87)
- total energy (eV/atom) = -3.155

Lattice parameters (Å, degrees): 3.870 7.316 7.316 85.99 74.67 74.67
Sites, in units of the cell vectors:
Y  0.500  0.500  0.000
H  0.548  0.223  0.181
H  0.452  0.777  0.819
H  0.271  0.681  0.277
H  0.729  0.319  0.723
Br  0.050  0.214  0.187
Br  0.950  0.786  0.813
Br  0.763  0.687  0.286
Br  0.237  0.313  0.714

Below is an optimized crystal structure of Y3HBr, with properties calculated at the PBE-GGA level.

Values from the calculation:
- symmetry = Pm-3m (221)
- distance to the lowest polymorph of the same formula (meV/atom) = 0
- total energy (eV/atom) = -5.038

Lattice parameters (Å, degrees): 4.893 4.893 4.893 90.00 90.00 90.00
Sites, in units of the cell vectors:
Y  0.000  0.500  0.000
Y  0.000  0.000  0.500
Y  0.500  0.000  0.000
H  0.000  0.000  0.000
Br  0.500  0.500  0.500

Below is an optimized crystal structure of YH2Br, with properties calculated at the PBE-GGA level.

Values from the calculation:
- symmetry = Fm-3m (225)
- distance to the lowest polymorph of the same formula (meV/atom) = 732
- total energy (eV/atom) = -4.064

Lattice parameters (Å, degrees): 4.330 4.330 4.330 60.00 60.00 60.00
Sites, in units of the cell vectors:
Y  0.500  0.500  0.500
H  0.250  0.250  0.250
H  0.750  0.750  0.750
Br  0.000  0.000  0.000